1.
The following is a DFT calculation (GGA-PBE) of InNi2As after structural relaxation.

Computed properties:
* D(E_F): 2.50 states/eV/f.u.
* energy relative to the elements: -0.10 eV/atom
* E: -38.687 eV/cell
* symmetry: No. 44

Cell: 2.896 3.643 12.065 Å, 90.00 90.00 90.00°
Fractional positions:
In  0.000  0.000  0.000
In  0.500  0.500  0.500
Ni  0.000  0.000  0.377
Ni  0.000  0.500  0.694
Ni  0.500  0.000  0.194
Ni  0.500  0.500  0.877
As  0.000  0.500  0.246
As  0.500  0.000  0.746

***

2.
The following is a DFT calculation (GGA-PBE) of InNi2As2 after structural relaxation.

Computed properties:
* D(E_F): 3.07 states/eV/f.u.
* energy relative to the elements: 0.07 eV/atom
* E: -46.479 eV/cell
* symmetry: No. 127

Cell: 7.712 7.712 2.839 Å, 90.00 90.00 90.00°
Fractional positions:
In  0.000  0.000  0.000
In  0.500  0.500  0.000
Ni  0.122  0.378  0.500
Ni  0.378  0.878  0.500
Ni  0.622  0.122  0.500
Ni  0.878  0.622  0.500
As  0.144  0.644  0.000
As  0.356  0.144  0.000
As  0.644  0.856  0.000
As  0.856  0.356  0.000

***

3.
The following is a DFT calculation (GGA-PBE) of InNi2As after structural relaxation.

Computed properties:
* D(E_F): 2.32 states/eV/f.u.
* energy relative to the elements: 0.02 eV/atom
* E: -18.883 eV/cell
* symmetry: No. 123

Cell: 4.326 4.326 3.193 Å, 90.00 90.00 90.00°
Fractional positions:
In  0.000  0.000  0.000
Ni  0.000  0.500  0.500
Ni  0.500  0.000  0.500
As  0.500  0.500  0.000